[1]
# SCAN ReTc2W, single point on PBEsol structure
# Relative energy among the computed polymorphs = 0 meV per atom
# Energy of formation = 12 kJ/mol of atoms
# V = 117.1 Å³/cell
data_ReTc2W
_chemical_formula_sum 'Re2 Tc4 W2'
_space_group_name_H-M_alt 'C m m m'
_space_group_IT_number 65
_space_group_name_Hall '-C 2 2'
_cell_length_a 5.511
_cell_length_b 7.710
_cell_length_c 2.756
_cell_angle_alpha 90.00
_cell_angle_beta 90.00
_cell_angle_gamma 90.00
loop_
_atom_site_label
_atom_site_fract_x
_atom_site_fract_y
_atom_site_fract_z
Re1 0.000 0.000 0.000
Tc1 0.250 0.250 0.500
W1 0.000 0.500 0.000

[2]
# SCAN ScRe2Ni, single point on PBEsol structure
# Relative energy among the computed polymorphs = 122 meV per atom
# Energy of formation = 8 kJ/mol of atoms
# V = 118.1 Å³/cell
data_ScRe2Ni
_chemical_formula_sum 'Sc2 Re4 Ni2'
_space_group_name_H-M_alt 'I 4/m m m'
_space_group_IT_number 139
_space_group_name_Hall '-I 4 2'
_cell_length_a 3.717
_cell_length_b 3.717
_cell_length_c 8.547
_cell_angle_alpha 90.00
_cell_angle_beta 90.00
_cell_angle_gamma 90.00
loop_
_atom_site_label
_atom_site_fract_x
_atom_site_fract_y
_atom_site_fract_z
Sc1 0.000 0.000 0.000
Re1 0.000 0.500 0.250
Ni1 0.000 0.000 0.500

[3]
# SCAN HfNbTc2, single point on PBEsol structure
# Energy of formation = -52 kJ/mol of atoms
# V = 258.5 Å³/cell
data_HfNbTc2
_chemical_formula_sum 'Hf4 Nb4 Tc8'
_space_group_name_H-M_alt 'F m -3 m'
_space_group_IT_number 225
_space_group_name_Hall '-F 4 2 3'
_cell_length_a 6.371
_cell_length_b 6.371
_cell_length_c 6.371
_cell_angle_alpha 90.00
_cell_angle_beta 90.00
_cell_angle_gamma 90.00
loop_
_atom_site_label
_atom_site_fract_x
_atom_site_fract_y
_atom_site_fract_z
Hf1 0.000 0.000 0.000
Nb1 0.000 0.000 0.500
Tc1 0.250 0.250 0.250

[4]
# SCAN NaAl2CoCu, single point on PBEsol structure
# Energy of formation = 57 kJ/mol of atoms
# V = 94.5 Å³/cell
data_NaAl2CoCu
_chemical_formula_sum 'Na1 Al2 Co1 Cu1'
_space_group_name_H-M_alt 'P 4/m m m'
_space_group_IT_number 123
_space_group_name_Hall '-P 4 2'
_cell_length_a 4.412
_cell_length_b 4.412
_cell_length_c 4.854
_cell_angle_alpha 90.00
_cell_angle_beta 90.00
_cell_angle_gamma 90.00
loop_
_atom_site_label
_atom_site_fract_x
_atom_site_fract_y
_atom_site_fract_z
Na1 0.000 0.000 0.000
Al1 0.000 0.500 0.500
Co1 0.000 0.000 0.500
Cu1 0.500 0.500 0.000

[5]
# SCAN SrLi3Y, single point on PBEsol structure
# Relative energy among the computed polymorphs = 89 meV per atom
# Energy of formation = 73 kJ/mol of atoms
# V = 148.4 Å³/cell
data_SrLi3Y
_chemical_formula_sum 'Sr1 Li3 Y1'
_space_group_name_H-M_alt 'P m -3 m'
_space_group_IT_number 221
_space_group_name_Hall '-P 4 2 3'
_cell_length_a 5.294
_cell_length_b 5.294
_cell_length_c 5.294
_cell_angle_alpha 90.00
_cell_angle_beta 90.00
_cell_angle_gamma 90.00
loop_
_atom_site_label
_atom_site_fract_x
_atom_site_fract_y
_atom_site_fract_z
Sr1 0.000 0.000 0.000
Li1 0.000 0.000 0.500
Y1 0.500 0.500 0.500

[6]
# SCAN Li2ZnOsSe, single point on PBEsol structure
# V = 92.3 Å³/cell
# Calculated total energy = -21.3845 eV/atom
data_Li2ZnOsSe
_chemical_formula_sum 'Li2 Zn1 Os1 Se1'
_space_group_name_H-M_alt 'P 4/m m m'
_space_group_IT_number 123
_space_group_name_Hall '-P 4 2'
_cell_length_a 4.328
_cell_length_b 4.328
_cell_length_c 4.929
_cell_angle_alpha 90.00
_cell_angle_beta 90.00
_cell_angle_gamma 90.00
loop_
_atom_site_label
_atom_site_fract_x
_atom_site_fract_y
_atom_site_fract_z
Li1 0.000 0.500 0.000
Zn1 0.000 0.000 0.500
Os1 0.500 0.500 0.500
Se1 0.000 0.000 0.000

[7]
# SCAN CsAlPb2N, single point on PBEsol structure
# V = 136.4 Å³/cell
# Calculated total energy = -41.0276 eV/atom
data_CsAlPb2N
_chemical_formula_sum 'Cs1 Al1 Pb2 N1'
_space_group_name_H-M_alt 'P 4/m m m'
_space_group_IT_number 123
_space_group_name_Hall '-P 4 2'
_cell_length_a 6.168
_cell_length_b 6.168
_cell_length_c 3.585
_cell_angle_alpha 90.00
_cell_angle_beta 90.00
_cell_angle_gamma 90.00
loop_
_atom_site_label
_atom_site_fract_x
_atom_site_fract_y
_atom_site_fract_z
Cs1 0.000 0.000 0.000
Al1 0.500 0.500 0.000
Pb1 0.000 0.500 0.500
N1 0.500 0.500 0.500

[8]
# SCAN TcIr2Ru, single point on PBEsol structure
# Relative energy among the computed polymorphs = 4 meV per atom
# Energy of formation = -16 kJ/mol of atoms
# V = 55.2 Å³/cell
data_TcIr2Ru
_chemical_formula_sum 'Tc1 Ir2 Ru1'
_space_group_name_H-M_alt 'P m m m'
_space_group_IT_number 47
_cell_length_a 2.681
_cell_length_b 3.831
_cell_length_c 5.370
_cell_angle_alpha 90.00
_cell_angle_beta 90.00
_cell_angle_gamma 90.00
loop_
_space_group_symop_operation_xyz
'x,y,z'
'-x,-y,-z'
'-x,-y,z'
'x,y,-z'
'x,-y,-z'
'-x,y,z'
'-x,y,-z'
'x,-y,z'
loop_
_atom_site_label
_atom_site_fract_x
_atom_site_fract_y
_atom_site_fract_z
Tc1 0.000 0.000 0.000
Ir1 0.500 0.500 0.250
Ru1 0.000 0.000 0.500

[9]
# SCAN Na7NbO6, single point on PBEsol structure
# V = 551.7 Å³/cell
# Calculated total energy = -9.0165 eV/atom
data_Na7NbO6
_chemical_formula_sum 'Na21 Nb3 O18'
_space_group_name_H-M_alt 'R 3'
_space_group_IT_number 146
_space_group_name_Hall 'R 3'
_cell_length_a 6.4296
_cell_length_b 6.4296
_cell_length_c 15.4102
_cell_angle_alpha 90.00
_cell_angle_beta 90.00
_cell_angle_gamma 120.00
loop_
_atom_site_label
_atom_site_fract_x
_atom_site_fract_y
_atom_site_fract_z
Na1 0.0000 0.0000 0.0000
Na2 0.0665 0.3406 0.8796
Na3 0.0805 0.6866 0.0913
Nb1 0.0000 0.0000 0.6517
O1 0.0021 0.7402 0.5782
O2 0.0384 0.2874 0.7266

[10]
# SCAN TaNiIr2, single point on PBEsol structure
# Energy of formation = -62 kJ/mol of atoms
# V = 55.5 Å³/cell
data_TaNiIr2
_chemical_formula_sum 'Ta1 Ni1 Ir2'
_space_group_name_H-M_alt 'P 4/m m m'
_space_group_IT_number 123
_space_group_name_Hall '-P 4 2'
_cell_length_a 3.867
_cell_length_b 3.867
_cell_length_c 3.715
_cell_angle_alpha 90.00
_cell_angle_beta 90.00
_cell_angle_gamma 90.00
loop_
_atom_site_label
_atom_site_fract_x
_atom_site_fract_y
_atom_site_fract_z
Ta1 0.000 0.000 0.000
Ni1 0.500 0.500 0.000
Ir1 0.000 0.500 0.500

[11]
# SCAN Er12Co5Bi, single point on PBEsol structure
# Energy of formation = -28 kJ/mol of atoms
# V = 811.3 Å³/cell
data_Er12Co5Bi
_chemical_formula_sum 'Er24 Co10 Bi2'
_space_group_name_H-M_alt 'I m m m'
_space_group_IT_number 71
_space_group_name_Hall '-I 2 2'
_cell_length_a 9.166
_cell_length_b 9.173
_cell_length_c 9.648
_cell_angle_alpha 90.00
_cell_angle_beta 90.00
_cell_angle_gamma 90.00
loop_
_atom_site_label
_atom_site_fract_x
_atom_site_fract_y
_atom_site_fract_z
Er1 0.000 0.194 0.208
Er2 0.192 0.500 0.188
Er3 0.212 0.316 0.500
Co1 0.000 0.000 0.000
Co2 0.000 0.375 0.000
Co3 0.000 0.500 0.388
Bi1 0.000 0.000 0.500

[12]
# SCAN SrAl3Ag, single point on PBEsol structure
# Energy of formation = -32 kJ/mol of atoms
# V = 212.8 Å³/cell
data_SrAl3Ag
_chemical_formula_sum 'Sr2 Al6 Ag2'
_space_group_name_H-M_alt 'I 4 m m'
_space_group_IT_number 107
_space_group_name_Hall 'I 4 -2'
_cell_length_a 4.296
_cell_length_b 4.296
_cell_length_c 11.533
_cell_angle_alpha 90.00
_cell_angle_beta 90.00
_cell_angle_gamma 90.00
loop_
_atom_site_label
_atom_site_fract_x
_atom_site_fract_y
_atom_site_fract_z
Sr1 0.000 0.000 0.000
Al1 0.000 0.000 0.608
Al2 0.000 0.500 0.249
Ag1 0.000 0.000 0.382

Please write out number 1 again, unchanged.
# SCAN ReTc2W, single point on PBEsol structure
# Relative energy among the computed polymorphs = 0 meV per atom
# Energy of formation = 12 kJ/mol of atoms
# V = 117.1 Å³/cell
data_ReTc2W
_chemical_formula_sum 'Re2 Tc4 W2'
_space_group_name_H-M_alt 'C m m m'
_space_group_IT_number 65
_space_group_name_Hall '-C 2 2'
_cell_length_a 5.511
_cell_length_b 7.710
_cell_length_c 2.756
_cell_angle_alpha 90.00
_cell_angle_beta 90.00
_cell_angle_gamma 90.00
loop_
_atom_site_label
_atom_site_fract_x
_atom_site_fract_y
_atom_site_fract_z
Re1 0.000 0.000 0.000
Tc1 0.250 0.250 0.500
W1 0.000 0.500 0.000